No. 1
{
  "formula": "BaZnHgPb",
  "functional": "GGA-PBE",
  "state": "relaxed",
  "energy_ev_per_cell": -8.346,
  "sg": "F-43m",
  "n_ef_per_ev_cell": 2.1,
  "e_form_ev_per_atom": -0.285,
  "lattice": [[5.5235, 0.0000, 0.0000], [2.7617, 4.7835, 0.0000], [2.7617, 1.5945, 4.5099]],
  "species": ["Pb", "Zn", "Ba", "Hg"],
  "frac_coords": [[0.2500, 0.2500, 0.2500], [0.0000, 0.0000, 0.0000], [0.7500, 0.7500, 0.7500], [0.5000, 0.5000, 0.5000]]
}

***

No. 2
{
  "formula": "BaZnHgPb2",
  "functional": "GGA-PBE",
  "state": "relaxed",
  "energy_ev_per_cell": -11.590,
  "sg": "P4/mmm",
  "n_ef_per_ev_cell": 3.2,
  "e_form_ev_per_atom": -0.135,
  "lattice": [[5.5839, 0.0000, 0.0000], [0.0000, 5.5839, 0.0000], [0.0000, 0.0000, 5.2285]],
  "species": ["Pb", "Zn", "Pb", "Ba", "Hg"],
  "frac_coords": [[0.5000, 0.0000, 0.0000], [0.0000, 0.0000, 0.0000], [0.0000, 0.5000, 0.0000], [0.5000, 0.5000, 0.5000], [0.0000, 0.0000, 0.5000]]
}